(1)
PmHoEr | PBE | relaxed

Geometry as CIF:
```
data_PmHoEr
_chemical_formula_sum 'Pm4 Ho4 Er4'
_symmetry_space_group_name_H-M 'C m m m'
_symmetry_Int_Tables_number 65
_symmetry_space_group_name_Hall '-C 2 2'
_cell_length_a 11.5098
_cell_length_b 11.6036
_cell_length_c 3.4230
_cell_angle_alpha 90.00
_cell_angle_beta 90.00
_cell_angle_gamma 90.00
loop_
_atom_site_label
_atom_site_fract_x
_atom_site_fract_y
_atom_site_fract_z
Pm1 0.0000 0.2398 0.0000
Ho1 0.2380 0.5000 0.5000
Er1 0.0000 0.0000 0.5000
Er2 0.0000 0.5000 0.0000
```

Distance to the lowest polymorph of the same formula ... 654.8 meV/atom
Formation enthalpy at 0 K ... 0.68 eV per atom


(2)
Sr3Cd2Au9 | PBE | relaxed

Geometry as CIF:
```
data_Sr3Cd2Au9
_chemical_formula_sum 'Sr6 Cd4 Au18'
_symmetry_space_group_name_H-M 'I m m m'
_symmetry_Int_Tables_number 71
_symmetry_space_group_name_Hall '-I 2 2'
_cell_length_a 4.7446
_cell_length_b 9.8004
_cell_length_c 14.1912
_cell_angle_alpha 90.00
_cell_angle_beta 90.00
_cell_angle_gamma 90.00
loop_
_atom_site_label
_atom_site_fract_x
_atom_site_fract_y
_atom_site_fract_z
Sr1 0.0000 0.0000 0.0000
Sr2 0.0000 0.0000 0.2897
Cd1 0.0000 0.1859 0.5000
Au1 0.0000 0.2863 0.1332
Au2 0.0000 0.3593 0.3375
Au3 0.0000 0.5000 0.0000
```

Formation enthalpy at 0 K ... -0.54 eV per atom


(3)
Cd2RhAu | PBE | relaxed

Geometry as CIF:
```
data_Cd2RhAu
_chemical_formula_sum 'Cd2 Rh1 Au1'
_symmetry_space_group_name_H-M 'P m m 2'
_symmetry_Int_Tables_number 25
_cell_length_a 3.0448
_cell_length_b 4.0752
_cell_length_c 5.8621
_cell_angle_alpha 90.00
_cell_angle_beta 90.00
_cell_angle_gamma 90.00
loop_
_symmetry_equiv_pos_as_xyz
'x,y,z'
'-x,-y,z'
'-x,y,z'
'x,-y,z'
loop_
_atom_site_label
_atom_site_fract_x
_atom_site_fract_y
_atom_site_fract_z
Cd1 0.0000 0.0000 0.0000
Cd2 0.5000 0.5000 0.2889
Rh1 0.0000 0.0000 0.5023
Au1 0.5000 0.5000 0.7636
```

Formation enthalpy at 0 K ... -0.05 eV per atom


(4)
Dy2MgPb | PBE | relaxed

Geometry as CIF:
```
data_Dy2MgPb
_chemical_formula_sum 'Dy2 Mg1 Pb1'
_symmetry_space_group_name_H-M 'P 4/m m m'
_symmetry_Int_Tables_number 123
_symmetry_space_group_name_Hall '-P 4 2'
_cell_length_a 4.9087
_cell_length_b 4.9087
_cell_length_c 4.4874
_cell_angle_alpha 90.00
_cell_angle_beta 90.00
_cell_angle_gamma 90.00
loop_
_atom_site_label
_atom_site_fract_x
_atom_site_fract_y
_atom_site_fract_z
Dy1 0.0000 0.5000 0.0000
Mg1 0.0000 0.0000 0.5000
Pb1 0.5000 0.5000 0.5000
```

Formation enthalpy at 0 K ... -0.31 eV per atom


(5)
Tm3Ge2Pt6 | PBE | relaxed

Geometry as CIF:
```
data_Tm3Ge2Pt6
_chemical_formula_sum 'Tm12 Ge8 Pt24'
_symmetry_space_group_name_H-M 'I m -3 m'
_symmetry_Int_Tables_number 229
_symmetry_space_group_name_Hall '-I 4 2 3'
_cell_length_a 9.4549
_cell_length_b 9.4549
_cell_length_c 9.4549
_cell_angle_alpha 90.00
_cell_angle_beta 90.00
_cell_angle_gamma 90.00
loop_
_atom_site_label
_atom_site_fract_x
_atom_site_fract_y
_atom_site_fract_z
Tm1 0.0000 0.0000 0.2947
Ge1 0.2500 0.2500 0.2500
Pt1 0.0000 0.3237 0.3237
```

Formation enthalpy at 0 K ... -0.94 eV per atom


(6)
Ac2PrY2 | PBE | relaxed

Geometry as CIF:
```
data_Ac2PrY2
_chemical_formula_sum 'Ac4 Pr2 Y4'
_symmetry_space_group_name_H-M 'P -1'
_symmetry_Int_Tables_number 2
_cell_length_a 6.6256
_cell_length_b 7.1492
_cell_length_c 9.7522
_cell_angle_alpha 108.20
_cell_angle_beta 90.24
_cell_angle_gamma 117.60
loop_
_symmetry_equiv_pos_as_xyz
'x,y,z'
'-x,-y,-z'
loop_
_atom_site_label
_atom_site_fract_x
_atom_site_fract_y
_atom_site_fract_z
Ac1 0.0309 0.3950 0.1504
Ac2 0.3594 0.3896 0.6500
Pr1 0.2392 0.8041 0.5516
Y1 0.1744 0.0003 0.2449
Y2 0.4307 0.1930 0.9504
```

Formation enthalpy at 0 K ... 0.05 eV per atom


(7)
UGeH2Ru | PBE | relaxed

Geometry as CIF:
```
data_UGeH2Ru
_chemical_formula_sum 'U4 Ge4 H8 Ru4'
_symmetry_space_group_name_H-M 'C m c m'
_symmetry_Int_Tables_number 63
_symmetry_space_group_name_Hall '-C 2c 2'
_cell_length_a 3.9850
_cell_length_b 10.4975
_cell_length_c 5.7790
_cell_angle_alpha 90.00
_cell_angle_beta 90.00
_cell_angle_gamma 90.00
loop_
_atom_site_label
_atom_site_fract_x
_atom_site_fract_y
_atom_site_fract_z
U1 0.0000 0.2092 0.2500
Ge1 0.0000 0.0795 0.7500
H1 0.0000 0.3353 0.5673
Ru1 0.0000 0.5000 0.0000
```


(8)
Pu3Th5H12 | PBE | relaxed

Geometry as CIF:
```
data_Pu3Th5H12
_chemical_formula_sum 'Pu24 Th40 H96'
_symmetry_space_group_name_H-M 'I a -3 d'
_symmetry_Int_Tables_number 230
_symmetry_space_group_name_Hall '-I 4bd 2c 3'
_cell_length_a 13.3000
_cell_length_b 13.3000
_cell_length_c 13.3000
_cell_angle_alpha 90.00
_cell_angle_beta 90.00
_cell_angle_gamma 90.00
loop_
_atom_site_label
_atom_site_fract_x
_atom_site_fract_y
_atom_site_fract_z
Pu1 0.0000 0.2500 0.1250
Th1 0.0000 0.0000 0.0000
Th2 0.0000 0.2500 0.3750
H1 0.0011 0.0769 0.1555
```


Number 1: M_tot 0.00 μB per atom, V 457.15 Å³/cell, total energy -3.955 eV/atom. Number 2: M_tot 0.00 μB per atom, V 659.88 Å³/cell, total energy -3.138 eV/atom. Number 3: M_tot 0.00 μB per atom, V 72.74 Å³/cell, total energy -3.166 eV/atom. Number 4: M_tot 0.00 μB per atom, V 108.13 Å³/cell, total energy -3.940 eV/atom. Number 5: M_tot 0.00 μB per atom, V 845.21 Å³/cell, total energy -6.290 eV/atom. Number 6: M_tot 0.00 μB per atom, V 382.76 Å³/cell, total energy -5.131 eV/atom. Number 7: M_tot 0.49 μB per atom, V 241.75 Å³/cell, total energy -6.733 eV/atom. Number 8: M_tot 0.88 μB per atom, V 2352.66 Å³/cell, total energy -6.309 eV/atom.